LaTb2Pm6Mg | PBE | optimized geometry

Cell and atoms, written as POSCAR:
```
LaTb2Pm6Mg
1.0
4.710 -7.995 0.000
4.710 7.995 0.000
-0.105 0.000 8.897
La Tb Pm Mg
2 4 12 2
Direct
0.034 0.966 0.750 La
0.966 0.034 0.250 La
0.220 0.328 0.556 Tb
0.328 0.220 0.056 Tb
0.672 0.780 0.944 Tb
0.780 0.672 0.444 Tb
0.045 0.468 0.300 Pm
0.127 0.795 0.049 Pm
0.205 0.873 0.451 Pm
0.264 0.526 0.911 Pm
0.468 0.045 0.800 Pm
0.474 0.736 0.589 Pm
0.526 0.264 0.411 Pm
0.532 0.955 0.200 Pm
0.736 0.474 0.089 Pm
0.795 0.127 0.549 Pm
0.873 0.205 0.951 Pm
0.955 0.532 0.700 Pm
0.443 0.557 0.250 Mg
0.557 0.443 0.750 Mg
```

Output
Total moment: 0.0 μB/f.u.


LaTb6Pm2Mg | PBE | optimized geometry

Cell and atoms, written as POSCAR:
```
LaTb6Pm2Mg
1.0
5.021 -9.786 0.000
5.021 9.786 0.000
-1.063 0.000 6.621
La Tb Pm Mg
2 12 4 2
Direct
0.009 0.991 0.750 La
0.991 0.009 0.250 La
0.084 0.791 0.469 Tb
0.085 0.566 0.780 Tb
0.209 0.916 0.031 Tb
0.302 0.479 0.518 Tb
0.434 0.915 0.720 Tb
0.479 0.302 0.018 Tb
0.521 0.698 0.982 Tb
0.566 0.085 0.280 Tb
0.698 0.521 0.482 Tb
0.791 0.084 0.969 Tb
0.915 0.434 0.220 Tb
0.916 0.209 0.531 Tb
0.183 0.348 0.001 Pm
0.348 0.183 0.501 Pm
0.652 0.817 0.499 Pm
0.817 0.652 0.999 Pm
0.292 0.708 0.250 Mg
0.708 0.292 0.750 Mg
```

Output
Total moment: 0.0 μB/f.u.


LaTbPm2Mg | PBE | optimized geometry

Cell and atoms, written as POSCAR:
```
LaTbPm2Mg
1.0
6.277 0.000 0.000
0.000 5.710 0.000
-3.072 0.000 9.025
La Tb Pm Mg
2 2 4 2
Direct
0.034 0.250 0.390 La
0.966 0.750 0.610 La
0.160 0.750 0.997 Tb
0.840 0.250 0.003 Tb
0.374 0.750 0.391 Pm
0.452 0.250 0.200 Pm
0.548 0.750 0.800 Pm
0.626 0.250 0.609 Pm
0.231 0.250 0.811 Mg
0.769 0.750 0.189 Mg
```

Output
Total moment: 0.0 μB/f.u.


La2TbPm5Mg | PBE | optimized geometry

Cell and atoms, written as POSCAR:
```
La2TbPm5Mg
1.0
2.805 -10.152 0.000
2.805 10.152 0.000
0.000 0.000 10.783
La Tb Pm Mg
4 2 10 2
Direct
0.116 0.884 0.500 La
0.116 0.884 0.918 La
0.884 0.116 0.000 La
0.884 0.116 0.418 La
0.202 0.798 0.209 Tb
0.798 0.202 0.709 Tb
0.015 0.985 0.209 Pm
0.287 0.713 0.513 Pm
0.287 0.713 0.905 Pm
0.380 0.620 0.209 Pm
0.500 0.500 0.459 Pm
0.500 0.500 0.959 Pm
0.620 0.380 0.709 Pm
0.713 0.287 0.013 Pm
0.713 0.287 0.405 Pm
0.985 0.015 0.709 Pm
0.405 0.595 0.709 Mg
0.595 0.405 0.209 Mg
```

Output
Total moment: 0.0 μB/f.u.


Number 1: ΔE_f 10.8 kJ per mole of atoms. Number 2: ΔE_f 10.4 kJ per mole of atoms. Number 3: ΔE_f 1.6 kJ per mole of atoms. Number 4: ΔE_f 8.0 kJ per mole of atoms.